HfZnN2F, relaxed, DFT GGA-PBE; space-group type = P4/mmm, No. 123; crystal system = tetragonal; energy relative to the lowest polymorph listed for this composition = 0.445 eV per atom
1.0
3.898 0.000 0.000
0.000 3.898 0.000
0.000 0.000 3.679
Hf Zn N F
1 1 2 1
Cartesian
0.000 0.000 0.000
1.949 1.949 1.840
0.000 1.949 1.840
1.949 0.000 1.840
1.949 1.949 0.000


HfZnN2F, relaxed, DFT GGA-PBE; space-group type = P4/mmm, No. 123; crystal system = tetragonal; energy relative to the lowest polymorph listed for this composition = 0.000 eV per atom
1.0
4.209 0.000 0.000
0.000 4.209 0.000
0.000 0.000 4.040
Hf Zn N F
1 1 2 1
Cartesian
0.000 0.000 0.000
2.105 2.105 2.020
0.000 2.105 0.000
2.105 0.000 0.000
0.000 0.000 2.020


HfZrN2F, relaxed, DFT GGA-PBE; space-group type = P4/mmm, No. 123; crystal system = tetragonal; energy relative to the lowest polymorph listed for this composition = 0.349 eV per atom
1.0
4.276 0.000 0.000
0.000 4.276 0.000
0.000 0.000 3.943
Hf Zr N F
1 1 2 1
Cartesian
0.000 0.000 0.000
2.138 2.138 1.971
0.000 2.138 1.971
2.138 0.000 1.971
2.138 2.138 0.000